Entry 1:
Density functional theory data (PBE) for a relaxed CaHgPd6 crystal.

Cell lengths 5.2051, 5.2051, 5.2051 Å; angles 90.00, 90.00, 90.00 degrees
Space group Pm-3 (No. 200)
One atom of each set of equivalent atoms:
Ca: 0.0000 0.0000 0.0000 [1 per cell]
Hg: 0.5000 0.5000 0.5000 [1 per cell]
Pd: 0.0000 0.2526 0.5000 [6 per cell]

ΔE_f = -0.150 eV/atom
Energy above the lowest structure with this stoichiometry = 148 meV/atom



Entry 2:
Density functional theory data (PBE) for a relaxed DyLuTlAg crystal.

Cell lengths 7.3701, 7.3701, 7.3701 Å; angles 90.00, 90.00, 90.00 degrees
Space group F-43m (No. 216)
One atom of each set of equivalent atoms:
Dy: 0.0000 0.0000 0.0000 [4 per cell]
Lu: 0.0000 0.0000 0.5000 [4 per cell]
Tl: 0.2500 0.2500 0.2500 [4 per cell]
Ag: 0.2500 0.2500 0.7500 [4 per cell]

ΔE_f = -0.328 eV/atom



Entry 3:
Density functional theory data (PBE) for a relaxed Th6TeAs2Os3 crystal.

Cell lengths 18.8102, 4.1710, 8.7122 Å; angles 90.00, 106.49, 90.00 degrees
Space group C2/m (No. 12)
One atom of each set of equivalent atoms:
Th: 0.0049 0.0000 0.2208 [4 per cell]
Th: 0.1631 0.5000 0.0953 [4 per cell]
Th: 0.1794 0.5000 0.5714 [4 per cell]
Te: 0.0000 0.5000 0.5000 [2 per cell]
As: 0.1660 0.0000 0.8301 [4 per cell]
Os: 0.0000 0.5000 0.0000 [2 per cell]
Os: 0.1654 0.0000 0.3298 [4 per cell]

Energy relative to the elements, uncorrected = -9.20 eV per formula unit



Entry 4:
Density functional theory data (PBE) for a relaxed SmUTc3 crystal.

Cell lengths 5.5264, 5.7828, 6.3586 Å; angles 90.00, 104.62, 90.00 degrees
Space group P2_1/m (No. 11)
One atom of each set of equivalent atoms:
Sm: 0.1642 0.2500 0.1249 [2 per cell]
U: 0.3331 0.7500 0.3967 [2 per cell]
Tc: 0.2182 0.0025 0.6590 [4 per cell]
Tc: 0.4054 0.7500 0.0457 [2 per cell]

ΔE_f = -0.065 eV/atom
Energy above the lowest structure with this stoichiometry = 0 meV/atom



Entry 5:
Density functional theory data (PBE) for a relaxed CeEuCd4 crystal.

Cell lengths 8.5266, 8.5266, 8.5266 Å; angles 90.00, 90.00, 90.00 degrees
Space group F-43m (No. 216)
One atom of each set of equivalent atoms:
Ce: 0.0000 0.0000 0.0000 [4 per cell]
Eu: 0.2500 0.2500 0.7500 [4 per cell]
Cd: 0.1253 0.1253 0.3747 [16 per cell]

ΔE_f = -0.238 eV/atom



Entry 6:
Density functional theory data (PBE) for a relaxed KLi2SnPt crystal.

Cell lengths 5.1277, 5.1277, 5.0538 Å; angles 90.00, 90.00, 90.00 degrees
Space group P4/mmm (No. 123)
One atom of each set of equivalent atoms:
K: 0.0000 0.0000 0.0000 [1 per cell]
Li: 0.0000 0.5000 0.5000 [2 per cell]
Sn: 0.5000 0.5000 0.0000 [1 per cell]
Pt: 0.5000 0.5000 0.5000 [1 per cell]

ΔE_f = -0.349 eV/atom



Entry 7:
Density functional theory data (PBE) for a relaxed ZrRu2Br crystal.

Cell lengths 3.1577, 3.5776, 7.5421 Å; angles 90.00, 90.00, 90.00 degrees
Space group Pmm2 (No. 25)
One atom of each set of equivalent atoms:
Zr: 0.0000 0.0000 0.0000 [1 per cell]
Ru: 0.0000 0.0000 0.6621 [1 per cell]
Ru: 0.5000 0.5000 0.7717 [1 per cell]
Br: 0.5000 0.5000 0.2343 [1 per cell]

Energy relative to the elements, uncorrected = -0.03 eV per formula unit
Energy above the lowest structure with this stoichiometry = 7 meV/atom



Entry 8:
Density functional theory data (PBE) for a relaxed PmGa3Ir crystal.

Cell lengths 6.0823, 6.0964, 10.6112 Å; angles 90.00, 90.00, 90.00 degrees
Space group Fmm2 (No. 42)
One atom of each set of equivalent atoms:
Pm: 0.0000 0.0000 0.0000 [4 per cell]
Ga: 0.0000 0.0000 0.4066 [4 per cell]
Ga: 0.2500 0.2500 0.2531 [8 per cell]
Ir: 0.0000 0.0000 0.6351 [4 per cell]

ΔE_f = -0.633 eV/atom
Energy above the lowest structure with this stoichiometry = 0 meV/atom



Entry 9:
Density functional theory data (PBE) for a relaxed Sr2InBPd6 crystal.

Cell lengths 5.9474, 8.9076, 7.5535 Å; angles 90.00, 90.00, 90.00 degrees
Space group Pmmn (No. 59, origin choice 2)
One atom of each set of equivalent atoms:
Sr: 0.2500 0.0332 0.2102 [4 per cell]
In: 0.2500 0.7500 0.8319 [2 per cell]
B: 0.2500 0.2500 0.6704 [2 per cell]
Pd: 0.0117 0.2500 0.8774 [4 per cell]
Pd: 0.0196 0.7500 0.5088 [4 per cell]
Pd: 0.2500 0.0125 0.6340 [4 per cell]

ΔE_f = -0.552 eV/atom



Entry 10:
Density functional theory data (PBE) for a relaxed MgP2IrCl crystal.

Cell lengths 4.7768, 4.7768, 4.5077 Å; angles 90.00, 90.00, 90.00 degrees
Space group P4/mmm (No. 123)
One atom of each set of equivalent atoms:
Mg: 0.0000 0.0000 0.0000 [1 per cell]
P: 0.0000 0.5000 0.0000 [2 per cell]
Ir: 0.5000 0.5000 0.5000 [1 per cell]
Cl: 0.0000 0.0000 0.5000 [1 per cell]

Energy relative to the elements, uncorrected = 5.86 eV per formula unit
Energy above the lowest structure with this stoichiometry = 933 meV/atom



Entry 11:
Density functional theory data (PBE) for a relaxed KRb2TeI crystal.

Cell lengths 7.4527, 7.4527, 5.8951 Å; angles 90.00, 90.00, 90.00 degrees
Space group P4/mmm (No. 123)
One atom of each set of equivalent atoms:
K: 0.0000 0.0000 0.0000 [1 per cell]
Rb: 0.0000 0.5000 0.0000 [2 per cell]
Te: 0.0000 0.0000 0.5000 [1 per cell]
I: 0.5000 0.5000 0.5000 [1 per cell]

Energy relative to the elements, uncorrected = -2.86 eV per formula unit
Energy above the lowest structure with this stoichiometry = 468 meV/atom



Entry 12:
Density functional theory data (PBE) for a relaxed MgTa2Si crystal.

Cell lengths 2.9146, 4.4325, 5.2991 Å; angles 90.00, 100.27, 90.00 degrees
Space group Pm (No. 6)
One atom of each set of equivalent atoms:
Mg: 0.0000 0.0000 0.0000 [1 per cell]
Ta: 0.4041 0.5000 0.7897 [1 per cell]
Ta: 0.6266 0.0000 0.4850 [1 per cell]
Si: 0.0492 0.5000 0.2856 [1 per cell]

Energy relative to the elements, uncorrected = 0.14 eV per formula unit



Magnetization, record by record: 0.0; 0.0; 0.0; 0.0; 8.1; 0.0; 0.0; 0.0; 0.0; 1.1; 0.0; 0.0 μB/f.u.